The following is a meta-GGA SCAN calculation of a PBEsol-optimized structure of Ni2RuPt, from the Alexandria database.

Properties
- SG = P4/mmm, No. 123
- distance to the lowest polymorph of the same formula (eV/atom) = 0.005
- ΔH_f (0 K) (eV/atom) = 0.019
- V (A^3/atom) = 12.3
- DOS(E_F) (states/eV/atom) = 0.80

The structure in POSCAR format:
```
Ni2RuPt
1.0
2.628 0.000 0.000
0.000 2.628 0.000
0.000 0.000 7.126
Ni Ru Pt
2 1 1
Cartesian
0.000 0.000 1.717
0.000 0.000 5.409
1.314 1.314 0.000
1.314 1.314 3.563
```